Crystalline CaMo2Pb at its relaxed geometry. Source: Alexandria, functional PBE.

It has space group Cmmm (No. 65), with a = 5.874 Å, b = 9.646 Å, c = 2.899 Å, α = 90.00°, β = 90.00° and γ = 90.00°. Symmetry generates all atoms from Ca at (0.000, 0.000, 0.000), Mo at (0.250, 0.250, 0.500) and Pb at (0.000, 0.500, 0.000).

Its formation energy is 853 meV per atom.